# 1
Density functional theory data (GGA-PBE) for KHoZnO3 after structural relaxation.

Geometry as POSCAR:
```
KHoZnO3
1.0
7.338 0.000 0.000
0.000 3.509 0.000
-3.329 0.000 8.644
K Ho Zn O
2 2 2 6
direct
0.197 0.250 0.169 K
0.803 0.750 0.831 K
0.331 0.750 0.856 Ho
0.669 0.250 0.144 Ho
0.038 0.250 0.619 Zn
0.962 0.750 0.381 Zn
0.109 0.250 0.843 O
0.170 0.750 0.589 O
0.462 0.750 0.115 O
0.538 0.250 0.885 O
0.830 0.250 0.411 O
0.891 0.750 0.157 O
```

Properties
Space group   No. 11
DOS at the Fermi energy   0.000 states/eV per atom
Formation energy without anion corrections   -2.25 eV per atom
ρ   4.7 Mg/m³

# 2
Density functional theory data (GGA-PBE) for KHo2Zr2O7 after structural relaxation.

Geometry as POSCAR:
```
KHo2Zr2O7
1.0
-2.158 2.253 9.247
2.158 -2.253 9.247
2.158 2.253 -9.247
K Ho Zr O
1 2 2 7
direct
0.000 0.000 0.000 K
0.239 0.739 0.500 Ho
0.761 0.261 0.500 Ho
0.391 0.391 0.000 Zr
0.609 0.609 0.000 Zr
0.119 0.619 0.500 O
0.268 0.268 0.000 O
0.370 0.870 0.500 O
0.500 0.500 0.000 O
0.630 0.130 0.500 O
0.732 0.732 0.000 O
0.881 0.381 0.500 O
```

Properties
Space group   No. 71
DOS at the Fermi energy   0.153 states/eV per atom
Formation energy without anion corrections   -3.01 eV per atom
ρ   6.1 Mg/m³